10
Lattice="-0.041 -2.352 2.108 -4.758 -3.434 -6.291 6.456 -3.109 -3.344" Properties=species:S:1:pos:R:3 comment="CsWO3 | Alexandria via LeMat-Bulk | GGA+U | optimized geometry" rho_g_cm3=5.74 total_magnetization_mub_per_cell=2.00 space_group="C2/m, No. 12" dft_energy_ev_per_atom=-6.348 pbc="T T T"
Cs 4.167 -3.868 -4.235
Cs -2.510 -5.027 -3.292
W 0.685 -5.771 -6.426
W 0.972 -3.124 -1.100
O 0.609 -7.832 -6.361
O 1.049 -1.063 -1.166
O -0.747 -3.418 -1.462
O 2.404 -5.477 -6.065
O -0.173 -6.263 -4.626
O 1.830 -2.631 -2.901